Entry 1:
SbC3I | the Alexandria database | PBE-GGA | relaxed; energy above the most stable polymorph in this dataset = 0.0000 eV/atom; space group = No. 221; total moment = 2.485 μB/cell; uncorrected formation energy = 2920 meV/atom; raw total energy = -3.749 eV per atom
1.0
4.371 0.000 0.000
0.000 4.371 0.000
0.000 0.000 4.371
C I Sb
3 1 1
Cartesian
2.186 0.000 0.000 C
0.000 2.186 0.000 C
0.000 0.000 2.186 C
2.186 2.186 2.186 I
0.000 0.000 0.000 Sb

---

Entry 2:
NaAs2SeN | the Alexandria database | PBE-GGA | relaxed; energy above the most stable polymorph in this dataset = 0.0000 eV/atom; space group = No. 123; total moment = 0.000 μB/cell; uncorrected formation energy = 567 meV/atom; raw total energy = -3.919 eV per atom
1.0
-2.373 3.526 1.079
-1.187 -2.068 4.151
3.524 1.790 1.899
As N Na Se
2 1 1 1
Cartesian
-1.186 1.763 0.539 As
1.762 0.895 0.950 As
0.000 0.000 0.000 N
-0.018 1.624 3.565 Na
-0.594 -1.034 2.076 Se